Below is a relaxed LaHg2Cl crystal, with properties calculated at the PBE level.

Cell: 7.2561 7.2561 4.6775 Å, 71.26 71.26 28.86°
Closest atoms and distances in Å follow each position.
Fractional coordinates of all 4 atoms:
La: 0.7500 0.7500 0.7500  4 Cl 2.96
Cl: 0.2500 0.2500 0.2500  4 La 2.96
Hg: 0.4636 0.4636 0.5361  4 Hg 3.11, 2 La 3.36
Hg: 0.0364 0.0364 0.9639  4 Hg 3.11, 2 La 3.36

Summary:
SG   No. 12
Raw formation energy   -840 meV/atom
Energy above the most stable polymorph in this dataset   0.000 eV/atom

Below is a relaxed TcTeO2F crystal, with properties calculated at the PBE level.

Cell: 3.7465 3.7465 5.7330 Å, 90.00 90.00 90.00°
Closest atoms and distances in Å follow each position.
Fractional coordinates of all 5 atoms:
F: 0.0000 0.0000 0.5000  4 Te 2.65, 2 Tc 2.87
O: 0.5000 0.0000 0.0000  2 Tc 1.87
O: 0.0000 0.5000 0.0000  2 Tc 1.87
Te: 0.5000 0.5000 0.5000  4 F 2.65
Tc: 0.0000 0.0000 0.0000  4 O 1.87

Summary:
SG   No. 123
Raw formation energy   -627 meV/atom

Below is a relaxed LaTm2MgAu4 crystal, with properties calculated at the PBE level.

Cell: 4.9622 4.9622 9.0911 Å, 74.16 74.16 60.00°
Closest atoms and distances in Å follow each position.
Fractional coordinates of all 8 atoms:
Au: 0.8767 0.8767 0.3698  4 Tm 2.96-2.99, 3 Mg 3.08, 1 La 3.19
Au: 0.6081 0.6081 0.1756  1 Mg 2.80, 3 Tm 3.01
Au: 0.1233 0.1233 0.6302  4 Tm 2.96-2.99, 3 Mg 3.08, 1 La 3.19
Au: 0.3919 0.3919 0.8244  1 Mg 2.80, 3 Tm 3.01
La: 0.0000 0.0000 0.0000  8 Au 3.19-3.24
Tm: 0.2388 0.2388 0.2836  7 Au 2.96-3.01
Tm: 0.7612 0.7612 0.7164  7 Au 2.96-3.01
Mg: 0.5000 0.5000 0.5000  8 Au 2.80-3.08

Summary:
SG   No. 166
ΔE_f   -0.79 eV/atom

Below is a relaxed BeReTe3 crystal, with properties calculated at the PBE level.

Cell: 5.2528 5.2528 5.2528 Å, 90.00 90.00 90.00°
Closest atoms and distances in Å follow each position.
Fractional coordinates of all 5 atoms:
Te: 0.0000 0.0000 0.5000  2 Re 2.63
Te: 0.0000 0.5000 0.0000  2 Re 2.63
Te: 0.5000 0.0000 0.0000  2 Re 2.63
Re: 0.0000 0.0000 0.0000  6 Te 2.63
Be: 0.5000 0.5000 0.5000  12 Te 3.71

Summary:
SG   No. 221
Raw formation energy   1161 meV/atom
Energy above the most stable polymorph in this dataset   0.000 eV/atom

Below is a relaxed K2Cd3AgHg12 crystal, with properties calculated at the PBE level.

Cell: 13.7998 13.7998 13.7998 Å, 28.45 28.45 28.45°
Closest atoms and distances in Å follow each position.
Fractional coordinates of all 18 atoms:
K: 0.3591 0.3591 0.3591  12 Hg 3.57-3.87
K: 0.6409 0.6409 0.6409  12 Hg 3.57-3.87
Cd: 0.0000 0.0000 0.5000  4 Hg 2.98
Cd: 0.0000 0.5000 0.0000  4 Hg 2.98
Cd: 0.5000 0.0000 0.0000  4 Hg 2.98
Hg: 0.4034 0.8564 0.4034  2 Cd 2.98, 4 Hg 3.07-3.09
Hg: 0.8864 0.3894 0.8864  1 Ag 2.91, 2 Hg 3.09
Hg: 0.5966 0.1436 0.5966  2 Cd 2.98, 4 Hg 3.07-3.09
Hg: 0.8864 0.8864 0.3894  1 Ag 2.91, 2 Hg 3.09
Hg: 0.1436 0.5966 0.5966  2 Cd 2.98, 4 Hg 3.07-3.09
Hg: 0.5966 0.5966 0.1436  2 Cd 2.98, 4 Hg 3.07-3.09
Hg: 0.6106 0.1136 0.1136  1 Ag 2.91, 2 Hg 3.09
Hg: 0.4034 0.4034 0.8564  2 Cd 2.98, 4 Hg 3.07-3.09
Hg: 0.3894 0.8864 0.8864  1 Ag 2.91, 2 Hg 3.09
Hg: 0.8564 0.4034 0.4034  2 Cd 2.98, 4 Hg 3.07-3.09
Hg: 0.1136 0.6106 0.1136  1 Ag 2.91, 2 Hg 3.09
Hg: 0.1136 0.1136 0.6106  1 Ag 2.91, 2 Hg 3.09
Ag: 0.0000 0.0000 0.0000  6 Hg 2.91

Summary:
SG   No. 166
ΔE_f   -0.07 eV/atom

Below is a relaxed Ac4BiPSe2 crystal, with properties calculated at the PBE level.

Cell: 4.5705 7.8542 8.0066 Å, 70.50 90.00 90.00°
Closest atoms and distances in Å follow each position.
Fractional coordinates of all 8 atoms:
Ac: 0.5000 0.2576 0.7322  2 P 3.15, 3 Se 3.17-3.32, 1 Bi 3.31
Ac: 0.5000 0.7424 0.2678  2 P 3.15, 3 Se 3.17-3.32, 1 Bi 3.31
Ac: 0.0000 0.7533 0.7309  1 P 3.14, 3 Se 3.16-3.34, 2 Bi 3.31
Ac: 0.0000 0.2467 0.2691  1 P 3.14, 3 Se 3.16-3.34, 2 Bi 3.31
Se: 0.5000 0.0000 0.5000  6 Ac 3.16-3.17
Se: 0.0000 0.0000 0.0000  6 Ac 3.32-3.34
P: 0.0000 0.5000 0.5000  6 Ac 3.14-3.15
Bi: 0.5000 0.5000 0.0000  6 Ac 3.31

Summary:
SG   No. 10
Raw formation energy   -1553 meV/atom